No. 1
# S PBE optimized geometry
data_S
_chemical_formula_sum 'S12'
_cell_length_a 4.156
_cell_length_b 12.829
_cell_length_c 7.739
_cell_angle_alpha 90.00
_cell_angle_beta 90.00
_cell_angle_gamma 90.00
_space_group_name_H-M_alt 'P m m n'
_space_group_IT_number 59
loop_
_space_group_symop_operation_xyz
'x,y,z'
'-x,-y,-z'
'-x+1/2,-y+1/2,z'
'x+1/2,y+1/2,-z'
'x+1/2,-y,-z'
'-x+1/2,y,z'
'-x,y+1/2,-z'
'x,-y+1/2,z'
loop_
_atom_site_label
_atom_site_fract_x
_atom_site_fract_y
_atom_site_fract_z
S1 0.250 0.120 0.007
S2 0.250 0.250 0.878
S3 0.250 0.620 0.711
S4 0.250 0.750 0.583
# - D(E_F): 1.6 states/eV per cell
# - Formation energy from raw total energies: 302 meV/atom
# - Distance to the lowest polymorph of the same formula: 0.3024 eV per atom
# - Density: 1.548 Mg/m³


No. 2
# S PBE optimized geometry
data_S
_chemical_formula_sum 'S3'
_cell_length_a 5.0604
_cell_length_b 5.0604
_cell_length_c 4.4122
_cell_angle_alpha 90.00
_cell_angle_beta 90.00
_cell_angle_gamma 120.00
_space_group_name_H-M_alt 'P 31 2 1'
_space_group_IT_number 152
loop_
_space_group_symop_operation_xyz
'x,y,z'
'-y,x-y,z+1/3'
'-x+y,-x,z+2/3'
'y,x,-z'
'x-y,-y,-z+2/3'
'-x,-x+y,-z+1/3'
loop_
_atom_site_label
_atom_site_fract_x
_atom_site_fract_y
_atom_site_fract_z
S1 0.0000 0.1664 0.1667
# - D(E_F): 0.0 states/eV per cell
# - Formation energy from raw total energies: 40 meV/atom
# - Distance to the lowest polymorph of the same formula: 0.0396 eV per atom
# - Density: 1.633 Mg/m³


No. 3
# S PBE optimized geometry
data_S
_chemical_formula_sum 'S12'
_cell_length_a 13.507
_cell_length_b 4.164
_cell_length_c 6.042
_cell_angle_alpha 90.00
_cell_angle_beta 90.00
_cell_angle_gamma 90.00
_space_group_name_H-M_alt 'P m n 21'
_space_group_IT_number 31
loop_
_space_group_symop_operation_xyz
'x,y,z'
'-x+1/2,-y,z+1/2'
'-x,y,z'
'x+1/2,-y,z+1/2'
loop_
_atom_site_label
_atom_site_fract_x
_atom_site_fract_y
_atom_site_fract_z
S1 0.000 0.040 0.000
S2 0.000 0.418 0.813
S3 0.193 0.859 0.044
S4 0.214 0.798 0.549
# - D(E_F): 3.8 states/eV per cell
# - Formation energy from raw total energies: 263 meV/atom
# - Distance to the lowest polymorph of the same formula: 0.2629 eV per atom
# - Density: 1.880 Mg/m³


- The lowest formation energy from raw total energies belongs to which entry?
  number 2